1.
First-principles (PBE) data for a relaxed KCe2Sn2Au2 crystal, as listed in Alexandria via LeMat-Bulk.

The structure in POSCAR format:
```
KCe2Sn2Au2
1.0
4.850 0.000 0.000
2.425 4.200 0.000
2.425 1.400 10.181
Sn Ce Au K
2 2 2 1
Direct
0.747 0.747 0.759 Sn
0.253 0.253 0.241 Sn
0.144 0.144 0.569 Ce
0.856 0.856 0.431 Ce
0.444 0.444 0.668 Au
0.556 0.556 0.332 Au
0.000 0.000 0.000 K
```

**Crystal system**: trigonal
**Formation energy from the elements**: -481 meV/atom
**Symmetry**: R-3m (166)

2.
First-principles (PBE) data for a relaxed La2CeAu crystal, as listed in Alexandria via LeMat-Bulk.

The structure in POSCAR format:
```
La2CeAu
1.0
5.376 0.000 0.000
2.688 4.656 0.000
2.688 1.552 4.392
La Ce Au
2 1 1
Direct
0.250 0.250 0.250 La
0.750 0.750 0.750 La
0.000 0.000 0.000 Ce
0.500 0.500 0.500 Au
```

**Energy above the lowest structure with this stoichiometry**: 195 meV per atom
**Crystal system**: cubic
**Formation energy from the elements**: -146 meV/atom
**Symmetry**: Fm-3m (225)

- What is the formation energy from the elements in the first record?
  -481 meV/atom